[1]
Density functional theory data (PBE) for crystalline Cs2UI2Cl4 at its relaxed geometry.

a b c (Å): 8.1306 8.1306 11.4913
angles (deg): 90.00 90.00 90.00
With the nearest neighbours (Å) after each atom.
Space group I4/mmm (No. 139)
Symmetry-distinct sites (fractional):
1 Cs 0.0000 0.5000 0.2500 (multiplicity 4)  4 I 4.07, 8 Cl 4.07
2 U 0.0000 0.0000 0.0000 (multiplicity 2)  4 Cl 2.61
3 I 0.0000 0.0000 0.2659 (multiplicity 4)  1 U 3.06
4 Cl 0.2267 0.2267 0.0000 (multiplicity 8)  1 U 2.61

Output
E_tot = -4.30 eV/atom
D(E_F) = 0.8080 states/eV/atom
M_tot = 2.00 μB per formula unit



[2]
Density functional theory data (PBE) for crystalline Np2PaTl2S6 at its relaxed geometry.

a b c (Å): 6.9911 12.1078 7.9243
angles (deg): 90.00 107.40 90.00
With the nearest neighbours (Å) after each atom.
Space group C2/m (No. 12)
Symmetry-distinct sites (fractional):
1 Np 0.0000 0.1661 0.0000 (multiplicity 4)  6 S 2.76-2.77
2 Pa 0.0000 0.5000 0.0000 (multiplicity 2)  6 S 2.71-2.72
3 Tl 0.0000 0.3308 0.5000 (multiplicity 4)  6 S 3.28-3.29
4 S 0.2280 0.3354 0.1917 (multiplicity 8)  1 Pa 2.72, 2 Np 2.76-2.77
5 S 0.2400 0.0000 0.1940 (multiplicity 4)  1 Pa 2.71, 2 Np 2.77

Output
E_tot = -7.09 eV/atom
D(E_F) = 2.0091 states/eV/atom
M_tot = 9.00 μB per formula unit



Q: The lowest D(E_F) belongs to which entry?
A: Cs2UI2Cl4